Record 1
A plane-wave DFT calculation with PBE-GGA was carried out for a relaxed Ti2GaS crystal.

Unit cell a=6.841 b=6.841 c=6.841 alpha=28.71 beta=28.71 gamma=28.71
Fractional coordinates of all 4 atoms:
1 Ti 0.235 0.235 0.235
2 Ti 0.765 0.765 0.765
3 Ga 0.000 0.000 0.000
4 S 0.500 0.500 0.500

Output
The formation energy without anion corrections is -0.808 eV/atom. Its space group is R-3m, No. 166. As for the polymorph energy (0 for the lowest one): 17 meV per atom. The value obtained for the density of states at the Fermi level is 3.09 states/eV per cell. The total magnetization is 0.00 μB per formula unit.

***

Record 2
A plane-wave DFT calculation with PBE-GGA was carried out for a relaxed Sm6SiTe3S2 crystal.

Unit cell a=7.269 b=7.269 c=7.614 alpha=99.14 beta=99.14 gamma=119.98
Fractional coordinates of all 12 atoms:
1 Sm 0.071 0.403 0.213
2 Sm 0.262 0.262 0.789
3 Sm 0.403 0.071 0.213
4 Sm 0.597 0.929 0.787
5 Sm 0.738 0.738 0.211
6 Sm 0.929 0.597 0.787
7 Si 0.000 0.000 0.000
8 Te 0.166 0.834 0.500
9 Te 0.500 0.500 0.500
10 Te 0.834 0.166 0.500
11 S 0.333 0.667 0.000
12 S 0.667 0.333 0.000

Output
The formation energy without anion corrections is -1.552 eV/atom. Its space group is C2/m, No. 12. The value obtained for the density of states at the Fermi level is 4.55 states/eV per cell. The total magnetization is 0.00 μB per formula unit.

***

Record 3
A plane-wave DFT calculation with PBE-GGA was carried out for a relaxed SnH3Pt crystal.

Unit cell a=3.875 b=3.875 c=3.875 alpha=90.00 beta=90.00 gamma=90.00
Fractional coordinates of all 5 atoms:
1 Sn 0.000 0.000 0.000
2 H 0.000 0.000 0.500
3 H 0.000 0.500 0.000
4 H 0.500 0.000 0.000
5 Pt 0.500 0.500 0.500

Output
Its space group is Pm-3m, No. 221. As for the polymorph energy (0 for the lowest one): 818 meV per atom. The value obtained for the density of states at the Fermi level is 4.37 states/eV per cell. The total magnetization is 0.00 μB per formula unit.

***

Record 4
A plane-wave DFT calculation with PBE-GGA was carried out for a relaxed Zr6Ru7 crystal.

Unit cell a=9.913 b=9.913 c=9.913 alpha=31.09 beta=31.09 gamma=31.09
Fractional coordinates of all 13 atoms:
1 Zr 0.052 0.052 0.052
2 Zr 0.155 0.155 0.155
3 Zr 0.334 0.334 0.334
4 Zr 0.666 0.666 0.666
5 Zr 0.845 0.845 0.845
6 Zr 0.948 0.948 0.948
7 Ru 0.087 0.594 0.594
8 Ru 0.406 0.406 0.913
9 Ru 0.406 0.913 0.406
10 Ru 0.500 0.500 0.500
11 Ru 0.594 0.087 0.594
12 Ru 0.594 0.594 0.087
13 Ru 0.913 0.406 0.406

Output
Its space group is R-3m, No. 166. The value obtained for the density of states at the Fermi level is 16.77 states/eV per cell. The total magnetization is 0.00 μB per formula unit. The formation energy comes out at -427 kJ/mol of formula units.

***

Record 5
A plane-wave DFT calculation with PBE-GGA was carried out for a relaxed ZnSb2PtPb crystal.

Unit cell a=5.363 b=5.363 c=4.785 alpha=90.00 beta=90.00 gamma=90.00
Fractional coordinates of all 5 atoms:
1 Zn 0.000 0.000 0.000
2 Sb 0.000 0.500 0.500
3 Sb 0.500 0.000 0.500
4 Pt 0.000 0.000 0.500
5 Pb 0.500 0.500 0.000

Output
The formation energy without anion corrections is 0.080 eV/atom. Its space group is P4/mmm, No. 123. The value obtained for the density of states at the Fermi level is 3.58 states/eV per cell. The total magnetization is 0.00 μB per formula unit.

***

Record 6
A plane-wave DFT calculation with PBE-GGA was carried out for a relaxed Sr3Li6Cd5 crystal.

Unit cell a=4.907 b=14.253 c=10.392 alpha=90.00 beta=90.00 gamma=90.00
Fractional coordinates of all 28 atoms:
1 Sr 0.250 0.051 0.248
2 Sr 0.250 0.449 0.248
3 Sr 0.250 0.750 0.256
4 Sr 0.750 0.250 0.744
5 Sr 0.750 0.551 0.752
6 Sr 0.750 0.949 0.752
7 Li 0.250 0.075 0.900
8 Li 0.250 0.250 0.056
9 Li 0.250 0.250 0.444
10 Li 0.250 0.425 0.900
11 Li 0.250 0.611 0.532
12 Li 0.250 0.889 0.532
13 Li 0.750 0.111 0.468
14 Li 0.750 0.389 0.468
15 Li 0.750 0.575 0.100
16 Li 0.750 0.750 0.556
17 Li 0.750 0.750 0.944
18 Li 0.750 0.925 0.100
19 Cd 0.250 0.086 0.609
20 Cd 0.250 0.414 0.609
21 Cd 0.250 0.629 0.971
22 Cd 0.250 0.750 0.732
23 Cd 0.250 0.871 0.971
24 Cd 0.750 0.129 0.029
25 Cd 0.750 0.250 0.268
26 Cd 0.750 0.371 0.029
27 Cd 0.750 0.586 0.391
28 Cd 0.750 0.914 0.391

Output
Its space group is Pmmn, No. 59. The value obtained for the density of states at the Fermi level is 17.83 states/eV per cell. The total magnetization is 0.00 μB per formula unit. The formation energy comes out at -284 kJ/mol of formula units.

***

Number 1: calculated total energy -26.2 eV per formula unit. Number 2: calculated total energy -70.0 eV per formula unit. Number 3: calculated total energy -15.3 eV per formula unit. Number 4: calculated total energy -120.6 eV per formula unit. Number 5: calculated total energy -18.9 eV per formula unit. Number 6: calculated total energy -24.0 eV per formula unit.